Model w:
Material: NbSnSe3
Method: DFT, PBE-GGA
State: optimized geometry

For the total magnetization, the calculation gives 0.00 μB per cell.

It has space group Pm-3m (No. 221), with a = 5.081 Å, b = 5.081 Å, c = 5.081 Å, α = 90.00°, β = 90.00° and γ = 90.00°. The asymmetric unit holds Nb at (0.000, 0.000, 0.000), Sn at (0.500, 0.500, 0.500) and Se at (0.000, 0.000, 0.500).

***

Model x:
Material: NbSnSe3
Method: DFT, PBE-GGA
State: optimized geometry

For the total magnetization, the calculation gives 2.43 μB per cell.

It has space group C2/m (No. 12), with a = 17.375 Å, b = 3.770 Å, c = 7.401 Å, α = 90.00°, β = 97.63° and γ = 90.00°. The asymmetric unit holds Nb at (0.208, 0.000, 0.241), Sn at (0.045, 0.500, 0.693), Se at (0.056, 0.000, 0.217), Se at (0.174, 0.500, 0.984) and Se at (0.194, 0.000, 0.603).

***

Of them, model x has the highest stability.

***

Model w:
Material: SrNbSe3
Method: DFT, PBE-GGA
State: optimized geometry

For the total magnetization, the calculation gives 0.00 μB per cell.

It has space group Pm-3m (No. 221), with a = 5.111 Å, b = 5.111 Å, c = 5.111 Å, α = 90.00°, β = 90.00° and γ = 90.00°. The asymmetric unit holds Sr at (0.000, 0.000, 0.000), Nb at (0.500, 0.500, 0.500) and Se at (0.000, 0.500, 0.500).

***

Model x:
Material: SrNbSe3
Method: DFT, PBE-GGA
State: optimized geometry

For the total magnetization, the calculation gives 0.39 μB per cell.

It has space group Pm-3m (No. 221), with a = 5.522 Å, b = 5.522 Å, c = 5.522 Å, α = 90.00°, β = 90.00° and γ = 90.00°. The asymmetric unit holds Sr at (0.000, 0.000, 0.000), Nb at (0.500, 0.500, 0.500) and Se at (0.000, 0.000, 0.500).

***

Of them, model w has the highest stability.